! MgUNi2O6 PBE+U optimized geometry; values from VASP
! * space-group type: P4mm, No. 99
! * DFT total energy: -6.446 eV/atom
! * DOS(E_F): 3.04 states/eV per cell
&SYSTEM
  ibrav = 0, nat = 10, ntyp = 4
/
ATOMIC_SPECIES
Mg 24.30 Mg.upf
U 238.03 U.upf
Ni 58.69 Ni.upf
O 16.00 O.upf
CELL_PARAMETERS angstrom
5.821 0.000 0.000
0.000 5.821 0.000
0.000 0.000 4.190
ATOMIC_POSITIONS angstrom
Mg 0.000 0.000 0.000
U 2.911 2.911 0.094
Ni 0.000 2.911 0.826
Ni 2.911 0.000 0.826
O 0.000 0.000 2.146
O 1.457 1.457 0.285
O 1.457 4.365 0.285
O 2.911 2.911 2.224
O 4.365 1.457 0.285
O 4.365 4.365 0.285